Entry 1:
Computed, not measured: a PBEsol-optimized structure of Ni2Ir at the meta-GGA SCAN level of DFT.

Values from the calculation:
Total energy   -413.5 eV for the cell shown
Crystal system   orthorhombic

abc: 3.565 10.797 3.629
angles: 90.00 90.00 90.00
Space group Cmcm (No. 63)
Symmetry-distinct sites (fractional):
Ni1 0.000 0.085 0.250 (multiplicity 4)
Ni2 0.000 0.249 0.750 (multiplicity 4)
Ir1 0.000 0.415 0.250 (multiplicity 4)

***

Entry 2:
Computed, not measured: a PBEsol-optimized structure of NiIr2 at the meta-GGA SCAN level of DFT.

Values from the calculation:
Total energy   -632.9 eV for the cell shown
Crystal system   monoclinic

abc: 9.640 2.688 6.232
angles: 90.00 103.80 90.00
Space group Cm (No. 8)
Symmetry-distinct sites (fractional):
Ni1 0.000 0.000 0.000 (multiplicity 2)
Ni2 0.167 0.500 0.330 (multiplicity 2)
Ir1 0.110 0.500 0.725 (multiplicity 2)
Ir2 0.279 0.000 0.057 (multiplicity 2)
Ir3 0.332 0.000 0.662 (multiplicity 2)
Ir4 0.445 0.500 0.381 (multiplicity 2)

***

Entry 3:
Computed, not measured: a PBEsol-optimized structure of NiIr3 at the meta-GGA SCAN level of DFT.

Values from the calculation:
Total energy   -459.0 eV for the cell shown
Crystal system   monoclinic

abc: 8.781 2.690 4.573
angles: 90.00 100.44 90.00
Space group C2/m (No. 12)
Symmetry-distinct sites (fractional):
Ni1 0.000 0.000 0.000 (multiplicity 2)
Ir1 0.000 0.500 0.500 (multiplicity 2)
Ir2 0.248 0.500 0.246 (multiplicity 4)